# Sr2FeF, relaxed, DFT GGA+U
# **Energy**: -0.2214 Ry/atom
data_Sr2FeF
_space_group_name_H-M_alt 'F m -3 m'
_space_group_IT_number 225
_space_group_name_Hall '-F 4 2 3'
_cell_length_a 7.672
_cell_length_b 7.672
_cell_length_c 7.672
_cell_angle_alpha 90.00
_cell_angle_beta 90.00
_cell_angle_gamma 90.00
loop_
_atom_site_label
_atom_site_type_symbol
_atom_site_fract_x
_atom_site_fract_y
_atom_site_fract_z
Sr1 Sr 0.250 0.250 0.250
Fe1 Fe 0.000 0.000 0.000
F1 F 0.000 0.000 0.500